! Nd3Sm3DyZn2 PBE optimized geometry; values from VASP
! Calculated formation energy: -0.16 eV per formula unit
! Volume: 269.9 Å³ per cell
! Space-group type: P-62m, No. 189
&SYSTEM
  ibrav = 0, nat = 9, ntyp = 4
/
ATOMIC_SPECIES
Nd 144.24 Nd.upf
Sm 150.36 Sm.upf
Dy 162.50 Dy.upf
Zn 65.41 Zn.upf
ATOMIC_POSITIONS crystal
Nd 0.5000 0.6868 0.0000
Nd 0.5000 0.0000 0.6868
Nd 0.5000 0.3132 0.3132
Sm 0.0000 0.6239 0.6239
Sm 0.0000 0.0000 0.3761
Sm 0.0000 0.3761 0.0000
Dy 0.0000 0.0000 0.0000
Zn 0.5000 0.6667 0.3333
Zn 0.5000 0.3333 0.6667
CELL_PARAMETERS angstrom
-3.4964 -1.1286 -0.1339
2.0428 -6.9960 5.6250
-2.7375 8.0664 3.4925